Record 1
AlTcB2H: relaxed, PBEsol.

D(E_F), states/eV per cell: 2.461
Crystal system: tetragonal
VASP energy, eV per formula unit: -29.34
Magnetic moment, μB per cell: 0.000
Calculated volume, Å³/cell: 43.54
Space-group type: P4/mmm (123)

```
AlTcB2H
1.0
3.6502 0.0000 0.0000
0.0000 3.6502 0.0000
0.0000 0.0000 3.2678
Al Tc B H
1 1 2 1
direct
0.0000 0.0000 0.0000
0.5000 0.5000 0.0000
0.0000 0.5000 0.5000
0.5000 0.0000 0.5000
0.5000 0.5000 0.5000
```

Record 2
HgSb2Se: relaxed, PBEsol.

D(E_F), states/eV per cell: 2.543
Crystal system: cubic
Energy above the most stable polymorph in this dataset, meV per atom: 192
Magnetic moment, μB per cell: 0.000
Calculated volume, Å³/cell: 95.40
Formation energy without anion corrections, eV per atom: 0.14
Space-group type: F-43m (216)

```
HgSb2Se
1.0
0.0000 3.6267 3.6267
3.6267 0.0000 3.6267
3.6267 3.6267 0.0000
Hg Sb Se
1 2 1
direct
0.0000 0.0000 0.0000
0.5000 0.5000 0.5000
0.7500 0.7500 0.7500
0.2500 0.2500 0.2500
```

Record 3
ZnC3: relaxed, PBEsol.

D(E_F), states/eV per cell: 0.956
Crystal system: trigonal
Energy above the most stable polymorph in this dataset, meV per atom: 0
Magnetic moment, μB per cell: 0.000
Calculated volume, Å³/cell: 30.10
Energy of formation from the pure elements, kJ/mol of formula units: 748
Space-group type: R-3m (166)

```
ZnC3
1.0
1.2769 0.7372 5.3287
-1.2769 0.7372 5.3287
0.0000 -1.4744 5.3287
Zn C
1 3
direct
0.0000 0.0000 0.0000
0.2239 0.2239 0.2239
0.5000 0.5000 0.5000
0.7761 0.7761 0.7761
```